Record 1
4
Lattice="2.4550 -4.1734 0.0000 2.4550 4.1734 0.0000 0.0000 0.0000 2.9826" Properties=species:S:1:pos:R:3 comment="TaTc2Cl SCAN PBEsol geometry" magmom_total_mub_per_cell=0.0 n_ef_per_ev_atom=0.799 e_form_raw_ev_per_atom=0.712 pbc="T T T"
Ta 0.0000 0.0000 0.0000
Tc 1.2275 2.0867 1.4913
Tc 1.2275 -2.0867 1.4913
Cl 2.4550 0.0000 0.0000



Record 2
6
Lattice="0.0000 3.6123 3.6123 3.6123 0.0000 3.6123 3.6123 3.6123 0.0000" Properties=species:S:1:pos:R:3 comment="TaTc4Cl SCAN PBEsol geometry" magmom_total_mub_per_cell=0.0 n_ef_per_ev_atom=1.169 e_form_raw_ev_per_atom=0.744 pbc="T T T"
Ta 0.0000 0.0000 0.0000
Tc 4.5133 2.7114 2.7114
Tc 2.7114 4.5133 2.7114
Tc 2.7114 2.7114 4.5133
Tc 4.5133 4.5133 4.5133
Cl 1.8062 1.8062 1.8062



Record 3
4
Lattice="-1.4769 2.2438 4.6834 1.4769 -2.2438 4.6834 1.4769 2.2438 -4.6834" Properties=species:S:1:pos:R:3 comment="Ta2TcCl SCAN PBEsol geometry" magmom_total_mub_per_cell=0.0 n_ef_per_ev_atom=0.890 e_form_raw_ev_per_atom=0.391 pbc="T T T"
Ta 0.0000 0.0000 0.0000
Ta 0.0000 2.2438 2.0258
Tc 1.4769 0.0000 2.4526
Cl 0.0000 0.0000 4.5117



Record 4
4
Lattice="3.1038 -3.6180 0.0000 3.1038 3.6180 0.0000 -0.6987 0.0000 2.8708" Properties=species:S:1:pos:R:3 comment="Ta2TcCl SCAN PBEsol geometry" magmom_total_mub_per_cell=0.0 n_ef_per_ev_atom=0.747 e_form_raw_ev_per_atom=0.403 pbc="T T T"
Ta 1.5519 1.8090 0.0000
Ta 1.5519 -1.8090 0.0000
Tc -0.3493 0.0000 1.4354
Cl 2.7545 0.0000 1.4354



Record 5
4
Lattice="0.0000 3.3759 3.3759 3.3759 0.0000 3.3759 3.3759 3.3759 0.0000" Properties=species:S:1:pos:R:3 comment="Ta2TeCl SCAN PBEsol geometry" magmom_total_mub_per_cell=0.0 n_ef_per_ev_atom=0.828 e_form_raw_ev_per_atom=0.702 pbc="T T T"
Ta 0.0000 0.0000 0.0000
Ta 1.6880 1.6880 1.6880
Te 5.0639 5.0639 5.0639
Cl 3.3759 3.3759 3.3759



Record 6
4
Lattice="2.7849 -4.4132 0.0000 2.7849 4.4132 0.0000 0.0000 0.0000 3.5504" Properties=species:S:1:pos:R:3 comment="TaTe2Cl SCAN PBEsol geometry" magmom_total_mub_per_cell=0.0 n_ef_per_ev_atom=0.578 e_form_raw_ev_per_atom=0.442 pbc="T T T"
Ta 0.0000 0.0000 0.0000
Te 1.3925 2.2066 1.7752
Te 1.3925 -2.2066 1.7752
Cl 2.7849 0.0000 0.0000



Record 7
4
Lattice="1.7949 1.0363 8.4226 -1.7949 1.0363 8.4226 0.0000 -2.0726 8.4226" Properties=species:S:1:pos:R:3 comment="TaTe2Cl SCAN PBEsol geometry" magmom_total_mub_per_cell=0.0 n_ef_per_ev_atom=0.372 e_form_raw_ev_per_atom=-0.339 pbc="T T T"
Ta 0.0000 0.0000 0.0000
Te 0.0000 0.0000 6.5560
Te 0.0000 0.0000 18.7118
Cl 0.0000 0.0000 12.6339



Record 8
4
Lattice="2.9102 0.0000 0.0000 0.0000 4.3094 0.0000 0.0000 0.0000 6.0616" Properties=species:S:1:pos:R:3 comment="Ta2TeCl SCAN PBEsol geometry" magmom_total_mub_per_cell=0.0 n_ef_per_ev_atom=0.597 e_form_raw_ev_per_atom=0.157 pbc="T T T"
Ta 0.0000 0.0000 0.0000
Ta 1.4551 2.1547 1.5208
Te 0.0000 0.0000 3.0409
Cl 1.4551 2.1547 5.1943